No. 1
Computed, not measured: crystalline Ba6Na2Nb2P2O17 at its relaxed geometry at the PBE level of DFT.

```
Ba6Na2Nb2P2O17
1.0
-0.3338 4.3195 4.0174
-4.0704 -0.3887 -4.2650
-8.2331 -8.6799 8.6486
O Na Ba Nb P
17 2 6 2 2
Direct
0.1898 0.8102 0.1425
0.0000 0.5000 0.5000
0.8102 0.6205 0.8575
0.3528 0.1764 0.3390
0.6667 0.3333 0.9999
0.6205 0.8102 0.1425
0.8102 0.1898 0.8575
0.3795 0.1898 0.8575
0.6472 0.8236 0.6610
0.1764 0.8236 0.6610
0.1898 0.3795 0.1425
0.8236 0.1764 0.3390
0.5000 0.0000 0.5000
0.3333 0.6667 0.0001
0.8236 0.6472 0.3390
0.1764 0.3528 0.6610
0.5000 0.5000 0.5000
0.0000 0.0000 0.2466
0.0000 0.0000 0.7534
0.3333 0.6667 0.8199
0.6667 0.3333 0.1801
0.0000 0.0000 0.0000
0.6667 0.3333 0.6553
0.3333 0.6667 0.3447
0.0000 0.0000 0.5000
0.6667 0.3333 0.4117
0.3333 0.6667 0.5883
0.3333 0.6667 0.1045
0.6667 0.3333 0.8955
```

Calculated values
M_tot, μB per formula unit: 0.0
Crystal system: trigonal

***

No. 2
Computed, not measured: crystalline Cs2AgBr3 at its relaxed geometry at the PBE level of DFT.

```
Cs2AgBr3
1.0
4.8903 0.0000 0.0000
0.0000 10.2242 0.0000
0.0000 0.0000 19.7924
Br Cs Ag
12 8 4
Direct
0.2500 0.8222 0.7283
0.7500 0.8716 0.4291
0.2500 0.0157 0.1036
0.7500 0.1778 0.2717
0.2500 0.6284 0.9291
0.2500 0.3222 0.7717
0.2500 0.1284 0.5709
0.2500 0.5157 0.3964
0.7500 0.4843 0.6036
0.7500 0.3716 0.0709
0.7500 0.6778 0.2283
0.7500 0.9843 0.8964
0.2500 0.2475 0.9544
0.2500 0.7475 0.5456
0.7500 0.2525 0.4544
0.7500 0.5843 0.7880
0.2500 0.9157 0.2880
0.7500 0.0843 0.7120
0.7500 0.7525 0.0456
0.2500 0.4157 0.2120
0.7500 0.1359 0.1347
0.2500 0.3641 0.6347
0.7500 0.6359 0.3653
0.2500 0.8641 0.8653
```

Calculated values
M_tot, μB per formula unit: 0.0
Crystal system: orthorhombic

***

No. 3
Computed, not measured: crystalline ZrNbIrBr2 at its relaxed geometry at the PBE level of DFT.

```
ZrNbIrBr2
1.0
-0.7835 3.7916 -3.1315
-3.9217 1.6123 2.9334
3.1364 2.8276 2.6390
Br Nb Ir Zr
2 1 1 1
Direct
0.5000 0.0000 0.0000
0.0000 0.0000 0.5000
0.5000 0.5000 0.5000
0.0000 0.0000 0.0000
0.0000 0.5000 0.0000
```

Calculated values
M_tot, μB per formula unit: 2.4
Crystal system: tetragonal

***

What raw formation energy values result from the calculations? In sequence: -2735 -1326 1087 meV per atom.